(1)
Computed, not measured: a relaxed structure of TeC3Br at the PBE level of DFT.

Unit cell a=4.368 b=4.368 c=4.368 alpha=90.00 beta=90.00 gamma=90.00
Fractional positions:
1 Te 0.000 0.000 0.000
2 C 0.000 0.000 0.500
3 C 0.000 0.500 0.000
4 C 0.500 0.000 0.000
5 Br 0.500 0.500 0.500

Formation energy from raw total energies, eV per atom: 3.154
Crystal system: cubic
SG: Pm-3m (221)
Relative energy among the computed polymorphs, eV per atom: 0.000


(2)
Computed, not measured: a relaxed structure of Y2HoScS6 at the PBE level of DFT.

Unit cell a=7.238 b=7.238 c=7.238 alpha=56.06 beta=56.06 gamma=56.06
Fractional positions:
1 Y 0.000 0.000 0.000
2 Y 0.498 0.498 0.498
3 Ho 0.200 0.200 0.200
4 Sc 0.697 0.697 0.697
5 S 0.078 0.420 0.804
6 S 0.312 0.903 0.594
7 S 0.420 0.804 0.078
8 S 0.594 0.312 0.903
9 S 0.804 0.078 0.420
10 S 0.903 0.594 0.312

Formation energy from raw total energies, eV per atom: -2.010
Crystal system: trigonal
SG: R3 (146)


(3)
Computed, not measured: a relaxed structure of NaCa2ScI at the PBE level of DFT.

Unit cell a=6.466 b=6.466 c=5.579 alpha=90.00 beta=90.00 gamma=90.00
Fractional positions:
1 Na 0.000 0.000 0.000
2 Ca 0.000 0.500 0.500
3 Ca 0.500 0.000 0.500
4 Sc 0.500 0.500 0.500
5 I 0.500 0.500 0.000

Formation energy from raw total energies, eV per atom: 0.240
Crystal system: tetragonal
SG: P4/mmm (123)


(4)
Computed, not measured: a relaxed structure of HoBC at the PBE level of DFT.

Unit cell a=3.585 b=3.590 c=6.603 alpha=86.20 beta=74.53 gamma=89.99
Fractional positions:
1 Ho 0.150 0.212 0.201
2 Ho 0.850 0.788 0.799
3 B 0.448 0.350 0.602
4 B 0.552 0.650 0.398
5 C 0.335 0.279 0.828
6 C 0.665 0.721 0.172

ΔH_f (0 K), eV per atom: -0.45
Crystal system: triclinic
SG: P-1 (2)
Relative energy among the computed polymorphs, eV per atom: 0.000


(5)
Computed, not measured: a relaxed structure of Na2TmPuS4 at the PBE level of DFT.

Unit cell a=6.920 b=3.993 c=7.038 alpha=90.00 beta=109.24 gamma=90.00
Fractional positions:
1 Na 0.000 0.000 0.000
2 Na 0.500 0.500 0.000
3 Tm 0.000 0.500 0.500
4 Pu 0.500 0.000 0.500
5 S 0.236 0.000 0.726
6 S 0.253 0.500 0.275
7 S 0.747 0.500 0.725
8 S 0.764 0.000 0.274

Formation energy from raw total energies, eV per atom: -1.683
Crystal system: monoclinic
SG: P2/m (10)


(6)
Computed, not measured: a relaxed structure of Pm2PuNi9 at the PBE level of DFT.

Unit cell a=8.713 b=8.713 c=8.713 alpha=33.34 beta=33.34 gamma=33.34
Fractional positions:
1 Pm 0.138 0.138 0.138
2 Pm 0.862 0.862 0.862
3 Pu 0.000 0.000 0.000
4 Ni 0.081 0.580 0.580
5 Ni 0.333 0.333 0.333
6 Ni 0.420 0.420 0.919
7 Ni 0.420 0.919 0.420
8 Ni 0.500 0.500 0.500
9 Ni 0.580 0.081 0.580
10 Ni 0.580 0.580 0.081
11 Ni 0.667 0.667 0.667
12 Ni 0.919 0.420 0.420

ΔH_f (0 K), eV per atom: -0.28
Crystal system: trigonal
SG: R-3m (166)


(7)
Computed, not measured: a relaxed structure of Y2Sn2S at the PBE level of DFT.

Unit cell a=7.454 b=7.454 c=4.789 alpha=90.00 beta=90.00 gamma=90.00
Fractional positions:
1 Y 0.176 0.324 0.000
2 Y 0.324 0.824 0.000
3 Y 0.676 0.176 0.000
4 Y 0.824 0.676 0.000
5 Sn 0.134 0.634 0.500
6 Sn 0.366 0.134 0.500
7 Sn 0.634 0.866 0.500
8 Sn 0.866 0.366 0.500
9 S 0.000 0.000 0.000
10 S 0.500 0.500 0.000

Formation energy from raw total energies, eV per atom: -0.977
Crystal system: tetragonal
SG: P4/mbm (127)


(8)
Computed, not measured: a relaxed structure of Cs3MgCl5 at the PBE level of DFT.

Unit cell a=9.184 b=9.184 c=8.130 alpha=90.00 beta=90.00 gamma=90.00
Fractional positions:
1 Cs 0.000 0.000 0.000
2 Cs 0.169 0.331 0.500
3 Cs 0.331 0.831 0.500
4 Cs 0.500 0.500 0.000
5 Cs 0.669 0.169 0.500
6 Cs 0.831 0.669 0.500
7 Mg 0.000 0.500 0.000
8 Mg 0.500 0.000 0.000
9 Cl 0.000 0.000 0.500
10 Cl 0.132 0.632 0.206
11 Cl 0.132 0.632 0.794
12 Cl 0.368 0.132 0.206
13 Cl 0.368 0.132 0.794
14 Cl 0.500 0.500 0.500
15 Cl 0.632 0.868 0.206
16 Cl 0.632 0.868 0.794
17 Cl 0.868 0.368 0.206
18 Cl 0.868 0.368 0.794

Formation energy from raw total energies, eV per atom: -1.874
Crystal system: tetragonal
SG: P4/mbm (127)
Relative energy among the computed polymorphs, eV per atom: 0.094


(9)
Computed, not measured: a relaxed structure of Ho2Al3Cu4 at the PBE level of DFT.

Unit cell a=8.125 b=8.125 c=7.279 alpha=90.00 beta=90.00 gamma=140.51
Fractional positions:
1 Ho 0.102 0.898 0.903
2 Ho 0.398 0.602 0.403
3 Ho 0.602 0.398 0.597
4 Ho 0.898 0.102 0.097
5 Al 0.000 0.000 0.500
6 Al 0.016 0.484 0.750
7 Al 0.484 0.016 0.250
8 Al 0.500 0.500 0.000
9 Al 0.516 0.984 0.750
10 Al 0.984 0.516 0.250
11 Cu 0.172 0.828 0.513
12 Cu 0.182 0.318 0.750
13 Cu 0.318 0.182 0.250
14 Cu 0.328 0.672 0.013
15 Cu 0.672 0.328 0.987
16 Cu 0.682 0.818 0.750
17 Cu 0.818 0.682 0.250
18 Cu 0.828 0.172 0.487

ΔH_f (0 K), eV per atom: -0.35
Crystal system: orthorhombic
SG: Cmce (64)


Total moment (computed, Bohr magnetons per cell): 3.11, 0.00, 1.23, 0.00, 5.00, 3.74, 0.00, 0.22, 0.00